1.
CdAgOs2, relaxed, DFT GGA-PBEsol; formation enthalpy at 0 K = 100.8 kJ/mol of formula units; theoretical density = 15727 kg/m³; M_tot = 0.0001 μB per atom; space group = No. 99
1.0
-1.171 -2.489 0.591
1.939 -1.288 -1.582
4.753 -0.716 6.407
Ag Cd Os
1 1 2
Direct
0.000 0.000 0.488
0.500 0.500 0.759
0.000 0.000 0.026
0.500 0.500 0.227

---

2.
KSi2Ag, relaxed, DFT GGA-PBEsol; formation energy without anion corrections = 0.25 eV per atom; theoretical density = 3849 kg/m³; M_tot = 0.0000 μB per atom; space group = No. 123
1.0
3.481 0.000 0.000
0.000 3.481 0.000
0.000 0.000 7.231
Ag K Si
1 1 2
Direct
0.500 0.500 0.000
0.500 0.500 0.500
0.000 0.000 0.836
0.000 0.000 0.164

---

3.
MnCuBRu2, relaxed, DFT GGA-PBEsol; formation enthalpy at 0 K = 995.3 kJ/mol of formula units; theoretical density = 7138 kg/m³; M_tot = 0.0007 μB per atom; space group = No. 123
1.0
-2.755 3.181 0.520
-0.550 0.210 -4.199
-3.212 -2.828 0.279
Ru B Mn Cu
2 1 1 1
Direct
0.000 0.500 0.000
0.500 0.000 0.000
0.500 0.500 0.500
0.000 0.000 0.000
0.000 0.000 0.500

---

Number 1: electronic total energy -6.97 eV/atom. Number 2: electronic total energy -3.74 eV/atom. Number 3: electronic total energy -6.23 eV/atom.